First-principles (GGA-PBE) data for a geometry-optimized RbEuS2 structure, as listed in Alexandria.

Lattice parameters (Å, degrees): 4.2356 4.2356 8.0185 74.69 74.69 60.00
Last column: nearest neighbours and their distance in Å.
Element x y z (fractional)
Eu: 0.5000 0.5000 0.5000  6 S 2.86
S: 0.2315 0.2315 0.3055  3 Eu 2.86
S: 0.7685 0.7685 0.6945  3 Eu 2.86
Rb: 0.0000 0.0000 0.0000  6 S 3.38

Properties
E: -6.397 eV/atom
magnetization: 1.50 μB per atom
symmetry: R-3m, No. 166
D(E_F): 1.19 states/eV per atom
formation energy without anion corrections: -146.9 kJ/mol of atoms